(1)
Material: ScAg2Rh
Method: DFT, PBE
State: optimized geometry

It has space group Fm-3m (No. 225), with a = 6.5491 Å, b = 6.5491 Å, c = 6.5491 Å, α = 90.00°, β = 90.00° and γ = 90.00°. The inequivalent atoms are Sc at (0.0000, 0.0000, 0.0000), Ag at (0.2500, 0.2500, 0.2500) and Rh at (0.0000, 0.0000, 0.5000).

The calculated total energy comes out at -5.0102 eV per atom. The energy relative to the elements comes out at -0.16 eV/atom. For the total magnetization, the calculation gives 0.0 μB per formula unit. As for the density: 8.6 g/cm³. The volume comes out at 17.56 Å³/atom.

(2)
Material: Nd3Dy4Er3
Method: DFT, PBE
State: optimized geometry

It has space group Amm2 (No. 38), with a = 3.6954 Å, b = 13.2765 Å, c = 13.3638 Å, α = 90.00°, β = 90.00° and γ = 90.00°. The inequivalent atoms are Nd at (0.0000, 0.0000, 0.0000), Nd at (0.0000, 0.1734, 0.6717), Dy at (0.5000, 0.0000, 0.5446), Dy at (0.5000, 0.0000, 0.7988), Dy at (0.5000, 0.1253, 0.1755), Er at (0.0000, 0.0000, 0.3461) and Er at (0.5000, 0.2457, 0.4206).

The calculated total energy comes out at -4.5382 eV per atom. The energy relative to the elements comes out at 0.10 eV/atom. For the total magnetization, the calculation gives 0.0 μB per formula unit. As for the density: 8.0 g/cm³. The volume comes out at 32.78 Å³/atom.

(3)
Material: CsBe3Cl
Method: DFT, PBE
State: optimized geometry

It has space group Pm-3m (No. 221), with a = 5.4246 Å, b = 5.4246 Å, c = 5.4246 Å, α = 90.00°, β = 90.00° and γ = 90.00°. The inequivalent atoms are Cs at (0.0000, 0.0000, 0.0000), Be at (0.0000, 0.5000, 0.5000) and Cl at (0.5000, 0.5000, 0.5000).

The calculated total energy comes out at -1.3177 eV per atom. For the total magnetization, the calculation gives 0.0 μB per formula unit. As for the density: 2.0 g/cm³. Its formation energy (no corrections) is 1458.1 meV per atom. The volume comes out at 31.93 Å³/atom.

(4)
Material: Nb2Ru2Br
Method: DFT, PBE
State: optimized geometry

It has space group P4/mbm (No. 127), with a = 7.6369 Å, b = 7.6369 Å, c = 3.0880 Å, α = 90.00°, β = 90.00° and γ = 90.00°. The inequivalent atoms are Nb at (0.1496, 0.3504, 0.0000), Ru at (0.1346, 0.6346, 0.5000) and Br at (0.0000, 0.0000, 0.0000).

The calculated total energy comes out at -7.9400 eV per atom. For the total magnetization, the calculation gives 0.0 μB per formula unit. As for the density: 8.6 g/cm³. Its formation energy (no corrections) is 132.8 meV per atom. The volume comes out at 18.01 Å³/atom.

(5)
Material: GeBi2Pt2
Method: DFT, PBE
State: optimized geometry

It has space group C2/m (No. 12), with a = 13.1255 Å, b = 3.6412 Å, c = 11.0879 Å, α = 90.00°, β = 121.59° and γ = 90.00°. The inequivalent atoms are Ge at (0.2261, 0.0000, 0.3811), Bi at (0.0539, 0.5000, 0.7038), Bi at (0.1545, 0.5000, 0.0624), Pt at (0.0362, 0.0000, 0.1493) and Pt at (0.1192, 0.0000, 0.5192).

The calculated total energy comes out at -5.1662 eV per atom. The energy relative to the elements comes out at -0.27 eV/atom. For the total magnetization, the calculation gives 0.0 μB per formula unit. As for the density: 13.0 g/cm³. The volume comes out at 22.57 Å³/atom.

(6)
Material: Tb2Nd2Pt3
Method: DFT, PBE
State: optimized geometry

It has space group I2_13 (No. 199), with a = 8.9011 Å, b = 8.9011 Å, c = 8.9011 Å, α = 90.00°, β = 90.00° and γ = 90.00°. The inequivalent atoms are Tb at (0.0608, 0.4392, 0.5608), Nd at (0.1873, 0.1873, 0.1873) and Pt at (0.0000, 0.2500, 0.8659).

The calculated total energy comes out at -6.2993 eV per atom. The energy relative to the elements comes out at -1.03 eV/atom. For the total magnetization, the calculation gives 0.0 μB per formula unit. As for the density: 11.2 g/cm³. The volume comes out at 25.19 Å³/atom.